A relaxed Ti2GeH3 crystal, computed with GGA-PBE.

Output
ρ: 5.0 g cm⁻³
Electronic total energy: -65.700 eV for the cell shown

Cell: 6.278 6.278 6.261 Å, 113.11 113.11 30.25°
Fractional coordinates of all 12 atoms:
Ti: 0.032 0.032 0.273
Ti: 0.298 0.298 0.303
Ti: 0.702 0.702 0.697
Ti: 0.968 0.968 0.727
Ge: 0.375 0.375 0.960
Ge: 0.625 0.625 0.040
H: 0.100 0.100 0.637
H: 0.195 0.195 0.476
H: 0.432 0.432 0.579
H: 0.568 0.568 0.421
H: 0.805 0.805 0.524
H: 0.900 0.900 0.363